Computed, not measured: an optimized crystal structure of AcTa2SnO7 at the PBE-GGA level of DFT.

The structure belongs to space group P4/mmm (No. 123); the cell edges are 3.897, 3.897 and 11.383 Å and the angles 90.00°, 90.00° and 90.00°. Symmetry generates all atoms from Ac at (0.000, 0.000, 0.000), Ta at (0.500, 0.500, 0.210), Sn at (0.000, 0.000, 0.500), O at (0.000, 0.500, 0.172), O at (0.500, 0.500, 0.000) and O at (0.500, 0.500, 0.370).

The uncorrected formation energy is -2.584 eV per atom.

Computed, not measured: an optimized crystal structure of Ac2Tb4Sn3O2 at the PBE-GGA level of DFT.

The structure belongs to space group I4/mmm (No. 139); the cell edges are 4.770, 4.770 and 26.238 Å and the angles 90.00°, 90.00° and 90.00°. Symmetry generates all atoms from Ac at (0.000, 0.000, 0.195), Tb at (0.000, 0.500, 0.079), Sn at (0.000, 0.000, 0.332), Sn at (0.000, 0.000, 0.500) and O at (0.000, 0.000, 0.090).

The uncorrected formation energy is -1.532 eV per atom.

Computed, not measured: an optimized crystal structure of AcTc2SnO8 at the PBE-GGA level of DFT.

The structure belongs to space group R-3 (No. 148, hexagonal axes); the cell edges are 5.9551, 5.9551 and 18.2823 Å and the angles 90.00°, 90.00° and 120.00°. Symmetry generates all atoms from Ac at (0.0000, 0.0000, 0.0000), Tc at (0.0000, 0.0000, 0.2383), Sn at (0.0000, 0.0000, 0.5000), O at (0.0000, 0.0000, 0.1403) and O at (0.0095, 0.4082, 0.9305).

The uncorrected formation energy is -1.635 eV per atom.

Computed, not measured: an optimized crystal structure of AcSnTe2O at the PBE-GGA level of DFT.

The structure belongs to space group P4/nmm (No. 129, origin choice 2); the cell edges are 4.261, 4.261 and 16.753 Å and the angles 90.00°, 90.00° and 90.00°. Symmetry generates all atoms from Ac at (0.250, 0.250, 0.077), Sn at (0.250, 0.250, 0.643), Te at (0.250, 0.250, 0.404), Te at (0.250, 0.250, 0.811) and O at (0.250, 0.750, 0.000).

The uncorrected formation energy is -1.539 eV per atom.

Computed, not measured: an optimized crystal structure of AcSnTeO6 at the PBE-GGA level of DFT.

The structure belongs to space group P-31c (No. 163); the cell edges are 5.5211, 5.5211 and 10.8044 Å and the angles 90.00°, 90.00° and 120.00°. Symmetry generates all atoms from Ac at (0.0000, 0.0000, 0.0000), Sn at (0.3333, 0.6667, 0.2500), Te at (0.3333, 0.6667, 0.7500) and O at (0.0033, 0.3728, 0.6431).

The uncorrected formation energy is -1.898 eV per atom.

Computed, not measured: an optimized crystal structure of Ac2TiSnO6 at the PBE-GGA level of DFT.

The structure belongs to space group P4mm (No. 99); the cell edges are 5.713, 5.713 and 5.256 Å and the angles 90.00°, 90.00° and 90.00°. Symmetry generates all atoms from Ac at (0.000, 0.500, 0.000), Ti at (0.000, 0.000, 0.591), Sn at (0.500, 0.500, 0.600), O at (0.000, 0.000, 0.243), O at (0.225, 0.225, 0.721) and O at (0.500, 0.500, 0.014).

The uncorrected formation energy is -2.746 eV per atom.

Computed, not measured: an optimized crystal structure of Ac3Tl3SnO8 at the PBE-GGA level of DFT.

The structure belongs to space group R-3m (No. 166, hexagonal axes); the cell edges are 7.5079, 7.5079 and 19.4859 Å and the angles 90.00°, 90.00° and 120.00°. Symmetry generates all atoms from Ac at (0.0000, 0.5000, 0.0000), Tl at (0.0000, 0.5000, 0.5000), Sn at (0.0000, 0.0000, 0.0000), O at (0.0000, 0.0000, 0.2738) and O at (0.0445, 0.5223, 0.7236).

The uncorrected formation energy is -2.037 eV per atom.

Computed, not measured: an optimized crystal structure of Ac2Tl2SnO2 at the PBE-GGA level of DFT.

The structure belongs to space group P-3m1 (No. 164); the cell edges are 4.0728, 4.0728 and 14.5887 Å and the angles 90.00°, 90.00° and 120.00°. Symmetry generates all atoms from Ac at (0.3333, 0.6667, 0.1127), Tl at (0.0000, 0.0000, 0.3026), Sn at (0.0000, 0.0000, 0.5000) and O at (0.3333, 0.6667, 0.9361).

The uncorrected formation energy is -1.495 eV per atom.

Computed, not measured: an optimized crystal structure of Ac2TlSnO6 at the PBE-GGA level of DFT.

The structure belongs to space group P2_1/c (No. 14); the cell edges are 5.977, 6.321 and 10.486 Å and the angles 90.00°, 124.21° and 90.00°. Symmetry generates all atoms from Ac at (0.228, 0.059, 0.246), Tl at (0.000, 0.000, 0.500), Sn at (0.500, 0.000, 0.000), O at (0.159, 0.176, 0.946), O at (0.250, 0.723, 0.924) and O at (0.400, 0.061, 0.775).

The uncorrected formation energy is -2.267 eV per atom.

Computed, not measured: an optimized crystal structure of Ac2Tl2SnO6 at the PBE-GGA level of DFT.

The structure belongs to space group C2/m (No. 12); the cell edges are 6.466, 10.928 and 6.694 Å and the angles 90.00°, 105.07° and 90.00°. Symmetry generates all atoms from Ac at (0.000, 0.165, 0.000), Tl at (0.000, 0.344, 0.500), Sn at (0.000, 0.500, 0.000), O at (0.193, 0.353, 0.160) and O at (0.218, 0.500, 0.804).

The uncorrected formation energy is -1.998 eV per atom.

Number 1: DOS(E_F) 0.23 states/eV/atom. Number 2: DOS(E_F) 0.61 states/eV/atom. Number 3: DOS(E_F) 0.39 states/eV/atom. Number 4: DOS(E_F) 0.54 states/eV/atom. Number 5: DOS(E_F) 0.50 states/eV/atom. Number 6: DOS(E_F) 0.00 states/eV/atom. Number 7: DOS(E_F) 0.00 states/eV/atom. Number 8: DOS(E_F) 0.61 states/eV/atom. Number 9: DOS(E_F) 0.28 states/eV/atom. Number 10: DOS(E_F) 0.00 states/eV/atom.